1.
MgAg2Hg: optimized geometry, PBE.

abc: 6.0928 6.0928 4.8129
angles: 90.00 90.00 120.87
Last column: nearest neighbours and their distance in Å.
Positions (direct):
Mg: 0.1652 0.8348 0.7500  8 Ag 2.96-3.10, 4 Hg 2.99-3.01
Mg: 0.8348 0.1652 0.2500  8 Ag 2.96-3.10, 4 Hg 2.99-3.01
Ag: 0.1641 0.3253 0.7500  4 Ag 2.94-3.07, 4 Mg 2.96-3.10, 4 Hg 3.00-3.05
Ag: 0.3253 0.1641 0.2500  4 Ag 2.94-3.07, 4 Mg 2.96-3.10, 4 Hg 3.00-3.05
Ag: 0.6747 0.8359 0.7500  4 Ag 2.94-3.07, 4 Mg 2.96-3.10, 4 Hg 3.00-3.05
Ag: 0.8359 0.6747 0.2500  4 Ag 2.94-3.07, 4 Mg 2.96-3.10, 4 Hg 3.00-3.05
Hg: 0.3330 0.6670 0.2500  4 Mg 2.99-3.01, 8 Ag 3.00-3.05
Hg: 0.6670 0.3330 0.7500  4 Mg 2.99-3.01, 8 Ag 3.00-3.05

Energy of formation ... -0.122 eV per atom
Space-group type ... Cmcm, No. 63
Volume ... 19.17 A^3/atom

=====

2.
Mg3Ag3Hg2: optimized geometry, PBE.

abc: 4.5181 4.5225 7.6372
angles: 90.00 90.00 90.00
Last column: nearest neighbours and their distance in Å.
Positions (direct):
Mg: 0.0000 0.0000 0.0000  4 Ag 2.94, 4 Hg 2.95, 4 Mg 3.20
Mg: 0.0000 0.0000 0.5000  4 Hg 2.97, 8 Ag 2.97-3.20
Mg: 0.5000 0.5000 0.0000  4 Ag 2.95, 4 Hg 2.95, 4 Mg 3.20
Ag: 0.5000 0.0000 0.2472  6 Mg 2.94-2.97, 2 Ag 2.97, 4 Hg 3.20
Ag: 0.5000 0.0000 0.7528  6 Mg 2.94-2.97, 2 Ag 2.97, 4 Hg 3.20
Ag: 0.5000 0.5000 0.5000  4 Hg 2.97, 4 Ag 2.97, 4 Mg 3.20
Hg: 0.0000 0.5000 0.2480  6 Mg 2.95-2.97, 6 Ag 2.97-3.20
Hg: 0.0000 0.5000 0.7520  6 Mg 2.95-2.97, 6 Ag 2.97-3.20

Energy of formation ... -0.163 eV per atom
Space-group type ... Pmmm, No. 47
Volume ... 19.51 A^3/atom
Energy above the most stable polymorph in this dataset ... 0.000 eV per atom

=====

3.
Mg6Ag8Hg: optimized geometry, PBE.

abc: 7.2058 7.2058 7.2058
angles: 66.66 66.66 66.66
Last column: nearest neighbours and their distance in Å.
Positions (direct):
Mg: 0.1179 0.8532 0.3800  4 Ag 2.66-2.96, 1 Mg 2.84
Mg: 0.1468 0.6200 0.8821  4 Ag 2.66-2.96, 1 Mg 2.84
Mg: 0.3800 0.1179 0.8532  4 Ag 2.66-2.96, 1 Mg 2.84
Mg: 0.6200 0.8821 0.1468  4 Ag 2.66-2.96, 1 Mg 2.84
Mg: 0.8532 0.3800 0.1179  4 Ag 2.66-2.96, 1 Mg 2.84
Mg: 0.8821 0.1468 0.6200  4 Ag 2.66-2.96, 1 Mg 2.84
Ag: 0.0772 0.3829 0.6736  4 Mg 2.66-2.96, 2 Ag 2.78-2.85
Ag: 0.2464 0.2464 0.2464  3 Ag 2.85, 6 Mg 3.00
Ag: 0.3264 0.9228 0.6171  4 Mg 2.66-2.96, 2 Ag 2.78-2.85
Ag: 0.3829 0.6736 0.0772  4 Mg 2.66-2.96, 2 Ag 2.78-2.85
Ag: 0.6171 0.3264 0.9228  4 Mg 2.66-2.96, 2 Ag 2.78-2.85
Ag: 0.6736 0.0772 0.3829  4 Mg 2.66-2.96, 2 Ag 2.78-2.85
Ag: 0.7536 0.7536 0.7536  3 Ag 2.85, 6 Mg 3.00
Ag: 0.9228 0.6171 0.3264  4 Mg 2.66-2.96, 2 Ag 2.78-2.85
Hg: 0.5000 0.5000 0.5000  6 Mg 3.07, 6 Ag 3.12

Energy of formation ... -0.068 eV per atom
Space-group type ... R-3, No. 148
Volume ... 20.16 A^3/atom

=====

4.
Mg3Ag2Hg2: optimized geometry, PBE.

abc: 4.5440 5.0193 7.1490
angles: 75.93 89.97 63.12
Last column: nearest neighbours and their distance in Å.
Positions (direct):
Mg: 0.0000 0.0000 0.0000  6 Hg 2.94-3.15, 2 Ag 2.94, 2 Mg 3.29
Mg: 0.4098 0.1776 0.2854  4 Hg 2.92-3.05, 5 Ag 2.94-3.17, 1 Mg 3.05
Mg: 0.5902 0.8224 0.7146  4 Hg 2.92-3.05, 5 Ag 2.94-3.17, 1 Mg 3.05
Ag: 0.1313 0.7366 0.4250  3 Ag 2.84-3.10, 6 Mg 2.94-3.17, 3 Hg 2.95-3.15
Ag: 0.8687 0.2634 0.5750  3 Ag 2.84-3.10, 6 Mg 2.94-3.17, 3 Hg 2.95-3.15
Hg: 0.2967 0.4073 0.8432  7 Mg 2.92-3.15, 3 Ag 2.95-3.15
Hg: 0.7033 0.5927 0.1568  7 Mg 2.92-3.15, 3 Ag 2.95-3.15

Energy of formation ... -0.175 eV per atom
Space-group type ... P-1, No. 2
Volume ... 19.99 A^3/atom

=====

5.
Mg3Ag2Hg3: optimized geometry, PBE.

abc: 3.3007 5.0327 9.9859
angles: 98.03 98.85 90.05
Last column: nearest neighbours and their distance in Å.
Positions (direct):
Mg: 0.0000 0.0000 0.0000  8 Hg 2.98-3.01, 2 Mg 3.30
Mg: 0.1311 0.5545 0.2621  3 Ag 2.88-2.98, 6 Hg 2.99-3.06
Mg: 0.8689 0.4455 0.7379  3 Ag 2.88-2.98, 6 Hg 2.99-3.06
Ag: 0.2525 0.2577 0.5032  3 Mg 2.88-2.98, 4 Ag 2.95-3.07, 3 Hg 3.00-3.03
Ag: 0.7475 0.7423 0.4968  3 Mg 2.88-2.98, 4 Ag 2.95-3.07, 3 Hg 3.00-3.03
Hg: 0.3728 0.9504 0.7447  6 Mg 2.98-3.02, 3 Ag 3.00-3.03, 2 Hg 3.30
Hg: 0.5000 0.5000 0.0000  8 Mg 3.01-3.06, 2 Hg 3.30
Hg: 0.6272 0.0496 0.2553  6 Mg 2.98-3.02, 3 Ag 3.00-3.03, 2 Hg 3.30

Energy of formation ... -0.159 eV per atom
Space-group type ... P-1, No. 2
Volume ... 20.28 A^3/atom
Energy above the most stable polymorph in this dataset ... 0.000 eV per atom

=====

6.
MgAg5Hg: optimized geometry, PBE.

abc: 4.0376 4.0376 8.6675
angles: 90.00 90.00 90.00
Last column: nearest neighbours and their distance in Å.
Positions (direct):
Mg: 0.0000 0.0000 0.0000  12 Ag 2.86-2.96
Ag: 0.0000 0.5000 0.2492  6 Ag 2.86-2.96, 2 Mg 2.96, 2 Hg 2.97
Ag: 0.0000 0.5000 0.7508  6 Ag 2.86-2.96, 2 Mg 2.96, 2 Hg 2.97
Ag: 0.5000 0.0000 0.2492  6 Ag 2.86-2.96, 2 Mg 2.96, 2 Hg 2.97
Ag: 0.5000 0.0000 0.7508  6 Ag 2.86-2.96, 2 Mg 2.96, 2 Hg 2.97
Ag: 0.5000 0.5000 0.0000  4 Mg 2.86, 8 Ag 2.96
Hg: 0.5000 0.5000 0.5000  8 Ag 2.97

Energy of formation ... 0.002 eV per atom
Space-group type ... P4/mmm, No. 123
Volume ... 20.19 A^3/atom
Energy above the most stable polymorph in this dataset ... 0.000 eV per atom

=====

7.
Mg3Ag3Hg2: optimized geometry, PBE.

abc: 7.6426 7.6426 4.9161
angles: 108.61 108.61 35.69
Last column: nearest neighbours and their distance in Å.
Positions (direct):
Mg: 0.0000 0.0000 0.0000  4 Ag 2.82, 4 Mg 3.02-3.03
Mg: 0.1287 0.1287 0.6285  4 Hg 2.90-2.95, 2 Ag 2.93, 2 Mg 3.02-3.03
Mg: 0.8713 0.8713 0.3715  4 Hg 2.90-2.95, 2 Ag 2.93, 2 Mg 3.02-3.03
Ag: 0.3854 0.3854 0.8861  2 Mg 2.82, 3 Ag 2.92-3.14, 4 Hg 2.96-3.12
Ag: 0.5000 0.5000 0.5000  4 Ag 2.92, 4 Mg 2.93
Ag: 0.6146 0.6146 0.1139  2 Mg 2.82, 3 Ag 2.92-3.14, 4 Hg 2.96-3.12
Hg: 0.2466 0.2466 0.2464  4 Mg 2.90-2.95, 4 Ag 2.96-3.12
Hg: 0.7534 0.7534 0.7536  4 Mg 2.90-2.95, 4 Ag 2.96-3.12

Energy of formation ... -0.111 eV per atom
Space-group type ... C2/m, No. 12
Volume ... 19.73 A^3/atom
Energy above the most stable polymorph in this dataset ... 0.051 eV per atom

=====

8.
Mg2Ag4Hg: optimized geometry, PBE.

abc: 10.0862 10.0862 10.0862
angles: 157.15 157.15 32.53
Last column: nearest neighbours and their distance in Å.
Positions (direct):
Mg: 0.1301 0.1301 0.0000  8 Ag 2.83-3.06
Mg: 0.8699 0.8699 0.0000  8 Ag 2.83-3.06
Ag: 0.2500 0.7500 0.5000  8 Ag 2.82-2.90, 4 Mg 3.06
Ag: 0.3587 0.3587 0.0000  1 Hg 2.74, 4 Mg 2.83, 4 Ag 2.90
Ag: 0.6413 0.6413 0.0000  1 Hg 2.74, 4 Mg 2.83, 4 Ag 2.90
Ag: 0.7500 0.2500 0.5000  8 Ag 2.82-2.90, 4 Mg 3.06
Hg: 0.5000 0.5000 0.0000  2 Ag 2.74

Energy of formation ... -0.031 eV per atom
Space-group type ... I4/mmm, No. 139
Volume ... 22.08 A^3/atom
Energy above the most stable polymorph in this dataset ... 0.000 eV per atom

=====

9.
MgAg2Hg: optimized geometry, PBE.

abc: 3.0558 4.7869 5.3674
angles: 90.00 96.90 90.00
Last column: nearest neighbours and their distance in Å.
Positions (direct):
Mg: 0.0000 0.0000 0.0000  4 Ag 2.87, 2 Hg 2.92, 2 Mg 3.06
Ag: 0.2566 0.5000 0.7592  4 Ag 2.82-3.06, 2 Mg 2.87, 2 Hg 2.91
Ag: 0.7434 0.5000 0.2408  4 Ag 2.82-3.06, 2 Mg 2.87, 2 Hg 2.91
Hg: 0.5000 0.0000 0.5000  4 Ag 2.91, 4 Mg 2.92-3.24, 2 Hg 3.06

Energy of formation ... -0.067 eV per atom
Space-group type ... P2/m, No. 10
Volume ... 19.49 A^3/atom

=====

10.
Mg6Ag10Hg: optimized geometry, PBE.

abc: 8.0549 8.0549 5.7367
angles: 90.00 90.00 120.00
Last column: nearest neighbours and their distance in Å.
Positions (direct):
Mg: 0.0000 0.3497 0.3200  7 Ag 2.81-2.96, 1 Hg 3.00
Mg: 0.0000 0.6503 0.6800  7 Ag 2.81-2.96, 1 Hg 3.00
Mg: 0.3497 0.0000 0.3200  7 Ag 2.81-2.96, 1 Hg 3.00
Mg: 0.3497 0.3497 0.6800  7 Ag 2.81-2.96, 1 Hg 3.00
Mg: 0.6503 0.0000 0.6800  7 Ag 2.81-2.96, 1 Hg 3.00
Mg: 0.6503 0.6503 0.3200  7 Ag 2.81-2.96, 1 Hg 3.00
Ag: 0.0000 0.3091 0.8329  5 Mg 2.81-2.96, 4 Ag 2.95-3.14, 1 Hg 3.14
Ag: 0.0000 0.6909 0.1671  5 Mg 2.81-2.96, 4 Ag 2.95-3.14, 1 Hg 3.14
Ag: 0.3091 0.0000 0.8329  5 Mg 2.81-2.96, 4 Ag 2.95-3.14, 1 Hg 3.14
Ag: 0.3091 0.3091 0.1671  5 Mg 2.81-2.96, 4 Ag 2.95-3.14, 1 Hg 3.14
Ag: 0.3333 0.6667 0.0000  8 Ag 2.87-2.95, 6 Mg 3.20
Ag: 0.3333 0.6667 0.5000  6 Mg 2.82, 2 Ag 2.87
Ag: 0.6667 0.3333 0.0000  8 Ag 2.87-2.95, 6 Mg 3.20
Ag: 0.6667 0.3333 0.5000  6 Mg 2.82, 2 Ag 2.87
Ag: 0.6909 0.0000 0.1671  5 Mg 2.81-2.96, 4 Ag 2.95-3.14, 1 Hg 3.14
Ag: 0.6909 0.6909 0.8329  5 Mg 2.81-2.96, 4 Ag 2.95-3.14, 1 Hg 3.14
Hg: 0.0000 0.0000 0.5000  6 Mg 3.00, 6 Ag 3.14

Energy of formation ... -0.141 eV per atom
Space-group type ... P-31m, No. 162
Volume ... 18.96 A^3/atom

=====

11.
Mg3Ag3Hg: optimized geometry, PBE.

abc: 6.8147 6.8147 6.1172
angles: 90.00 90.00 90.39
Last column: nearest neighbours and their distance in Å.
Positions (direct):
Mg: 0.0015 0.4966 0.7481  6 Ag 2.84-2.91, 2 Hg 2.93-2.95, 2 Mg 3.04-3.08
Mg: 0.0067 0.0067 0.2516  5 Ag 2.87-3.19, 2 Mg 3.04-3.08
Mg: 0.4966 0.0015 0.7481  6 Ag 2.84-2.91, 2 Hg 2.93-2.95, 2 Mg 3.04-3.08
Mg: 0.5034 0.9985 0.2519  6 Ag 2.84-2.91, 2 Hg 2.93-2.95, 2 Mg 3.04-3.08
Mg: 0.9933 0.9933 0.7484  5 Ag 2.87-3.19, 2 Mg 3.04-3.08
Mg: 0.9985 0.5034 0.2519  6 Ag 2.84-2.91, 2 Hg 2.93-2.95, 2 Mg 3.04-3.08
Ag: 0.2502 0.7498 0.0000  6 Mg 2.85-2.87, 2 Hg 2.99, 2 Ag 3.06
Ag: 0.2610 0.7390 0.5000  6 Mg 2.84-2.95, 4 Ag 3.01-3.06
Ag: 0.2992 0.2992 0.4987  5 Mg 2.88-3.19, 2 Ag 3.01, 2 Hg 3.05-3.08
Ag: 0.7008 0.7008 0.5013  5 Mg 2.88-3.19, 2 Ag 3.01, 2 Hg 3.05-3.08
Ag: 0.7390 0.2610 0.5000  6 Mg 2.84-2.95, 4 Ag 3.01-3.06
Ag: 0.7498 0.2502 0.0000  6 Mg 2.85-2.87, 2 Hg 2.99, 2 Ag 3.06
Hg: 0.3174 0.3174 0.0015  4 Mg 2.93-2.95, 4 Ag 2.99-3.08
Hg: 0.6826 0.6826 0.9985  4 Mg 2.93-2.95, 4 Ag 2.99-3.08

Energy of formation ... -0.117 eV per atom
Space-group type ... C2/m, No. 12
Volume ... 20.29 A^3/atom
Energy above the most stable polymorph in this dataset ... 0.058 eV per atom

=====

12.
Mg2AgHg: optimized geometry, PBE.

abc: 5.6675 5.6675 5.6675
angles: 143.84 130.91 62.47
Last column: nearest neighbours and their distance in Å.
Positions (direct):
Mg: 0.0000 0.0000 0.0000  2 Ag 2.90, 4 Hg 2.94, 4 Mg 3.15-3.24
Mg: 0.7300 0.2300 0.5000  4 Ag 2.94, 2 Hg 2.98, 4 Mg 3.15-3.24
Ag: 0.2383 0.7383 0.5000  6 Mg 2.90-2.94, 2 Hg 2.94
Hg: 0.4818 0.4818 0.0000  2 Ag 2.94, 6 Mg 2.94-2.98

Energy of formation ... -0.164 eV per atom
Space-group type ... Imm2, No. 44
Volume ... 20.07 A^3/atom